Record 1
{"formula": "K2U2CoSe6", "functional": "GGA-PBE", "state": "optimized geometry", "cell": [[-2.250, -6.428, 1.113], [1.477, 2.050, -6.422], [7.726, -0.970, 2.730]], "species": ["K", "K", "U", "U", "Co", "Se", "Se", "Se", "Se", "Se", "Se"], "frac_coords": [[0.831, 0.169, 0.000], [0.169, 0.831, 0.000], [0.334, 0.666, 0.500], [0.666, 0.334, 0.500], [0.000, 0.000, 0.500], [0.749, 0.749, 0.693], [0.068, 0.387, 0.695], [0.251, 0.251, 0.307], [0.387, 0.068, 0.695], [0.932, 0.613, 0.305], [0.613, 0.932, 0.305]], "e_form_raw_ev_per_atom": -0.972, "energy_ev_per_atom": -5.77, "space_group": "No. 12"}

---

Record 2
{"formula": "KVCoSe3", "functional": "GGA-PBE", "state": "optimized geometry", "cell": [[-1.304, -2.910, -1.774], [3.080, -5.128, 6.147], [-8.955, 3.191, 1.348]], "species": ["K", "K", "V", "V", "Co", "Co", "Se", "Se", "Se", "Se", "Se", "Se"], "frac_coords": [[0.250, 0.244, 0.258], [0.750, 0.756, 0.742], [0.250, 0.702, 0.170], [0.750, 0.298, 0.830], [0.250, 0.084, 0.604], [0.750, 0.916, 0.396], [0.750, 0.887, 0.142], [0.250, 0.113, 0.858], [0.250, 0.773, 0.449], [0.750, 0.227, 0.551], [0.750, 0.470, 0.131], [0.250, 0.530, 0.869]], "e_form_raw_ev_per_atom": -0.730, "energy_ev_per_atom": -5.36, "space_group": "No. 11"}

---

Record 3
{"formula": "KCoW2Se8", "functional": "GGA-PBE", "state": "optimized geometry", "cell": [[-6.295, -0.022, -0.944], [-3.767, -3.513, 3.740], [-4.281, 6.205, 6.936]], "species": ["K", "Co", "W", "W", "Se", "Se", "Se", "Se", "Se", "Se", "Se", "Se"], "frac_coords": [[0.500, 0.500, 0.500], [0.000, 0.000, 0.000], [0.259, 0.259, 0.222], [0.741, 0.741, 0.778], [0.178, 0.178, 0.465], [0.649, 0.260, 0.151], [0.822, 0.822, 0.535], [0.940, 0.649, 0.151], [0.060, 0.351, 0.849], [0.260, 0.940, 0.151], [0.740, 0.060, 0.849], [0.351, 0.740, 0.849]], "e_form_raw_ev_per_atom": -0.277, "energy_ev_per_atom": -5.44, "space_group": "No. 148"}

---

Record 4
{"formula": "KZnCoSe2", "functional": "GGA-PBE", "state": "optimized geometry", "cell": [[4.690, 0.000, 0.000], [0.000, 6.119, 0.000], [0.000, 0.000, 4.690]], "species": ["Zn", "Co", "K", "Se", "Se"], "frac_coords": [[0.500, 0.500, 0.500], [0.000, 0.000, 0.000], [0.000, 0.500, 0.000], [0.000, 0.000, 0.500], [0.500, 0.000, 0.000]], "e_form_raw_ev_per_atom": 0.085, "energy_ev_per_atom": -3.20, "space_group": "No. 123"}

---

Record 5
{"formula": "KZrCoSe3", "functional": "GGA-PBE", "state": "optimized geometry", "cell": [[3.805, 0.000, 0.000], [0.000, 9.010, 0.251], [0.000, -4.064, 8.721]], "species": ["K", "K", "Zr", "Zr", "Co", "Co", "Se", "Se", "Se", "Se", "Se", "Se"], "frac_coords": [[0.250, 0.219, 0.241], [0.750, 0.781, 0.759], [0.250, 0.691, 0.169], [0.750, 0.309, 0.831], [0.250, 0.083, 0.593], [0.750, 0.917, 0.407], [0.750, 0.890, 0.144], [0.250, 0.110, 0.856], [0.250, 0.793, 0.472], [0.750, 0.207, 0.528], [0.750, 0.463, 0.149], [0.250, 0.537, 0.851]], "e_form_raw_ev_per_atom": -1.066, "energy_ev_per_atom": -5.60, "space_group": "No. 11"}

---

Record 6
{"formula": "KCo3Si", "functional": "GGA-PBE", "state": "optimized geometry", "cell": [[-2.124, -3.929, 0.152], [3.085, -1.772, -2.704], [2.438, -1.181, 3.555]], "species": ["K", "Co", "Co", "Co", "Si"], "frac_coords": [[0.500, 0.500, 0.500], [0.000, 0.500, 0.000], [0.000, 0.000, 0.500], [0.500, 0.000, 0.000], [0.000, 0.000, 0.000]], "e_above_lowest_polymorph_kj_per_mol_fu": 0, "e_form_raw_ev_per_atom": 0.744, "energy_ev_per_atom": -4.82, "space_group": "No. 221"}

---

Record 7
{"formula": "KCoSi", "functional": "GGA-PBE", "state": "optimized geometry", "cell": [[-0.380, -3.332, -1.870], [2.232, 2.769, -1.446], [4.316, -2.039, 2.757]], "species": ["Co", "K", "Si"], "frac_coords": [[0.000, 0.000, 0.834], [0.667, 0.333, 0.333], [0.333, 0.667, 0.833]], "e_above_lowest_polymorph_kj_per_mol_fu": 7, "e_form_raw_ev_per_atom": 0.228, "energy_ev_per_atom": -4.31, "space_group": "No. 156"}

---

Record 8
{"formula": "KCoSi", "functional": "GGA-PBE", "state": "optimized geometry", "cell": [[-1.817, 4.178, 4.544], [-4.131, 4.336, 2.353], [-1.920, -1.690, 1.907]], "species": ["Co", "K", "Si"], "frac_coords": [[0.931, 0.931, 0.069], [0.668, 0.668, 0.332], [0.400, 0.400, 0.600]], "e_above_lowest_polymorph_kj_per_mol_fu": 0, "e_form_raw_ev_per_atom": 0.203, "energy_ev_per_atom": -4.34, "space_group": "No. 107"}

---

Record 9
{"formula": "K2CoSi2", "functional": "GGA-PBE", "state": "optimized geometry", "cell": [[3.974, 0.000, 0.000], [0.000, 3.974, 0.000], [1.987, 1.987, 7.186]], "species": ["K", "K", "Co", "Si", "Si"], "frac_coords": [[0.750, 0.250, 0.500], [0.250, 0.750, 0.500], [0.000, 0.000, 0.000], [0.423, 0.423, 0.154], [0.577, 0.577, 0.846]], "e_above_lowest_polymorph_kj_per_mol_fu": 336, "e_form_raw_ev_per_atom": 0.958, "energy_ev_per_atom": -3.07, "space_group": "No. 139"}

---

Record 10
{"formula": "K2CoSi2", "functional": "GGA-PBE", "state": "optimized geometry", "cell": [[3.463, 0.000, 0.000], [0.000, 3.463, 0.000], [1.732, 1.732, 10.978]], "species": ["K", "K", "Co", "Si", "Si"], "frac_coords": [[0.391, 0.391, 0.218], [0.609, 0.609, 0.782], [0.000, 0.000, 0.000], [0.750, 0.250, 0.500], [0.250, 0.750, 0.500]], "e_above_lowest_polymorph_kj_per_mol_fu": 226, "e_form_raw_ev_per_atom": 0.729, "energy_ev_per_atom": -3.30, "space_group": "No. 139"}

---

Record 11
{"formula": "K3CoSi", "functional": "GGA-PBE", "state": "optimized geometry", "cell": [[6.427, 0.000, 0.000], [0.000, 6.427, 0.000], [0.000, 0.000, 6.427]], "species": ["K", "K", "K", "Co", "Si"], "frac_coords": [[0.000, 0.500, 0.000], [0.000, 0.000, 0.500], [0.500, 0.000, 0.000], [0.500, 0.500, 0.500], [0.000, 0.000, 0.000]], "e_above_lowest_polymorph_kj_per_mol_fu": 0, "e_form_raw_ev_per_atom": 1.028, "energy_ev_per_atom": -2.14, "space_group": "No. 221"}

---

Record 12
{"formula": "K4CoSi", "functional": "GGA-PBE", "state": "optimized geometry", "cell": [[0.000, 4.762, 4.762], [4.762, 0.000, 4.762], [4.762, 4.762, 0.000]], "species": ["K", "K", "K", "K", "Co", "Si"], "frac_coords": [[0.873, 0.376, 0.376], [0.376, 0.376, 0.873], [0.376, 0.873, 0.376], [0.376, 0.376, 0.376], [0.000, 0.000, 0.000], [0.750, 0.750, 0.750]], "e_form_raw_ev_per_atom": 1.076, "energy_ev_per_atom": -1.74, "space_group": "No. 216"}

---

Record 13
{"formula": "KCoSi3", "functional": "GGA-PBE", "state": "optimized geometry", "cell": [[-1.648, 3.985, 2.935], [-3.526, 1.225, -3.644], [-3.473, -3.135, 2.307]], "species": ["K", "Co", "Si", "Si", "Si"], "frac_coords": [[0.000, 0.000, 0.000], [0.500, 0.500, 0.500], [0.000, 0.500, 0.000], [0.000, 0.000, 0.500], [0.500, 0.000, 0.000]], "e_above_lowest_polymorph_kj_per_mol_fu": 1083, "e_form_raw_ev_per_atom": 2.614, "energy_ev_per_atom": -2.28, "space_group": "No. 221"}

---

Record 14
{"formula": "KCo4Si", "functional": "GGA-PBE", "state": "optimized geometry", "cell": [[0.000, 3.489, 3.489], [3.489, 0.000, 3.489], [3.489, 3.489, 0.000]], "species": ["K", "Co", "Co", "Co", "Co", "Si"], "frac_coords": [[0.750, 0.750, 0.750], [0.880, 0.373, 0.373], [0.373, 0.373, 0.880], [0.373, 0.880, 0.373], [0.373, 0.373, 0.373], [0.000, 0.000, 0.000]], "e_form_raw_ev_per_atom": 0.675, "energy_ev_per_atom": -5.15, "space_group": "No. 216"}

---

Record 15
{"formula": "KCoSi", "functional": "GGA-PBE", "state": "optimized geometry", "cell": [[4.985, 0.000, 0.000], [2.492, 4.317, 0.000], [2.492, 1.439, 4.070]], "species": ["Co", "K", "Si"], "frac_coords": [[0.500, 0.500, 0.500], [0.750, 0.750, 0.750], [0.000, 0.000, 0.000]], "e_above_lowest_polymorph_kj_per_mol_fu": 483, "e_form_raw_ev_per_atom": 1.873, "energy_ev_per_atom": -2.67, "space_group": "No. 216"}

---

Record 16
{"formula": "KCo3Si", "functional": "GGA-PBE", "state": "optimized geometry", "cell": [[4.412, 0.000, 0.000], [0.000, 4.412, 0.000], [0.000, 0.000, 4.412]], "species": ["K", "Co", "Co", "Co", "Si"], "frac_coords": [[0.000, 0.000, 0.000], [0.000, 0.500, 0.000], [0.000, 0.000, 0.500], [0.500, 0.000, 0.000], [0.500, 0.500, 0.500]], "e_above_lowest_polymorph_kj_per_mol_fu": 837, "e_form_raw_ev_per_atom": 2.480, "energy_ev_per_atom": -3.09, "space_group": "No. 221"}

---

Record 17
{"formula": "K2CoSi2", "functional": "GGA-PBE", "state": "optimized geometry", "cell": [[-2.532, -5.064, 8.677], [-1.456, -8.669, -5.484], [2.522, -0.650, 0.357]], "species": ["K", "K", "K", "K", "Co", "Co", "Si", "Si", "Si", "Si"], "frac_coords": [[0.367, 0.867, 0.000], [0.867, 0.633, 0.000], [0.633, 0.133, 0.000], [0.133, 0.367, 0.000], [0.000, 0.000, 0.000], [0.500, 0.500, 0.000], [0.166, 0.666, 0.500], [0.666, 0.834, 0.500], [0.834, 0.334, 0.500], [0.334, 0.166, 0.500]], "e_above_lowest_polymorph_kj_per_mol_fu": 431, "e_form_raw_ev_per_atom": 1.154, "energy_ev_per_atom": -2.88, "space_group": "No. 127"}

---

Record 18
{"formula": "K2CoSi2", "functional": "GGA-PBE", "state": "optimized geometry", "cell": [[-1.532, -3.993, -4.382], [4.740, 1.895, -3.383], [3.331, -3.963, 2.447]], "species": ["K", "K", "K", "K", "Co", "Co", "Si", "Si", "Si", "Si"], "frac_coords": [[0.179, 0.679, 0.500], [0.679, 0.821, 0.500], [0.821, 0.321, 0.500], [0.321, 0.179, 0.500], [0.000, 0.000, 0.000], [0.500, 0.500, 0.000], [0.352, 0.852, 0.000], [0.852, 0.648, 0.000], [0.648, 0.148, 0.000], [0.148, 0.352, 0.000]], "e_above_lowest_polymorph_kj_per_mol_fu": 0, "e_form_raw_ev_per_atom": 0.261, "energy_ev_per_atom": -3.77, "space_group": "No. 127"}

---

Record 19
{"formula": "KCoSi3", "functional": "GGA-PBE", "state": "optimized geometry", "cell": [[-2.471, -0.875, 3.699], [-1.693, -3.696, -2.006], [3.403, -2.475, 1.688]], "species": ["K", "Co", "Si", "Si", "Si"], "frac_coords": [[0.500, 0.500, 0.500], [0.000, 0.000, 0.000], [0.000, 0.500, 0.000], [0.000, 0.000, 0.500], [0.500, 0.000, 0.000]], "e_above_lowest_polymorph_kj_per_mol_fu": 0, "e_form_raw_ev_per_atom": 0.370, "energy_ev_per_atom": -4.52, "space_group": "No. 221"}

---

Record 20
{"formula": "K2SrCoSi", "functional": "GGA-PBE", "state": "optimized geometry", "cell": [[-2.730, -1.337, -5.753], [-3.845, -1.452, 2.162], [-2.422, 6.034, -0.253]], "species": ["Sr", "K", "K", "Co", "Si"], "frac_coords": [[0.000, 0.000, 0.000], [0.000, 0.000, 0.500], [0.500, 0.000, 0.000], [0.000, 0.500, 0.000], [0.500, 0.500, 0.500]], "e_form_raw_ev_per_atom": 1.379, "energy_ev_per_atom": -1.90, "space_group": "No. 123"}